1.
Density functional theory data (PBE) for a geometry-optimized LaMgZn2Pd4 structure.

a b c (Å): 4.402 4.402 8.954
angles (deg): 75.77 75.77 60.00
Sites, in units of the cell vectors:
Zn 0.763 0.763 0.711
Pd 0.600 0.600 0.199
Pd 0.128 0.128 0.616
Zn 0.237 0.237 0.289
Pd 0.872 0.872 0.384
Pd 0.400 0.400 0.801
La 0.000 0.000 0.000
Mg 0.500 0.500 0.500

Values from the calculation:
symmetry	No. 166
V	144.04	Å³ per cell
ΔE_f	-652	meV per atom
density	8.30	g/cm3
VASP energy	-35.06	eV per cell
total magnetization	0.00	Bohr magnetons per cell


2.
Density functional theory data (PBE) for a geometry-optimized CsRb3Nb structure.

a b c (Å): 7.617 7.617 7.617
angles (deg): 90.00 90.00 90.00
Last column: magnetic moment on the atom in μB.
Sites, in units of the cell vectors:
Rb 0.500 0.000 0.000  0.01
Cs 0.000 0.000 0.000  0.01
Rb 0.000 0.500 0.000  0.01
Nb 0.500 0.500 0.500  3.13
Rb 0.000 0.000 0.500  0.01

Values from the calculation:
symmetry	No. 221
V	441.91	Å³ per cell
ΔE_f	1470	meV per atom
density	1.81	g/cm3
VASP energy	-6.48	eV per cell
total magnetization	5.15	Bohr magnetons per cell


3.
Density functional theory data (PBE) for a geometry-optimized PmTlZn structure.

a b c (Å): 4.764 6.093 6.093
angles (deg): 86.25 66.99 66.99
Sites, in units of the cell vectors:
Tl 0.268 0.047 0.417
Tl 0.732 0.583 0.953
Zn 0.693 0.284 0.329
Pm 0.000 0.646 0.354
Pm 0.500 0.149 0.851
Zn 0.307 0.671 0.716

Values from the calculation:
symmetry	No. 44
V	149.01	Å³ per cell
ΔE_f	-339	meV per atom
density	9.24	g/cm3
VASP energy	-18.81	eV per cell
total magnetization	0.00	Bohr magnetons per cell


4.
Density functional theory data (PBE) for a geometry-optimized U2TcRh structure.

a b c (Å): 3.328 3.328 7.003
angles (deg): 90.00 90.00 90.00
Last column: magnetic moment on the atom in μB.
Sites, in units of the cell vectors:
U 0.000 0.000 0.752  1.91
U 0.000 0.000 0.248  1.91
Tc 0.500 0.500 0.000  -0.33
Rh 0.500 0.500 0.500  -0.22

Values from the calculation:
symmetry	No. 123
V	77.55	Å³ per cell
ΔE_f	-141	meV per atom
density	14.50	g/cm3
VASP energy	-40.86	eV per cell
total magnetization	3.69	Bohr magnetons per cell


5.
Density functional theory data (PBE) for a geometry-optimized RbIn5I7 structure.

a b c (Å): 4.923 8.302 28.868
angles (deg): 89.96 90.00 107.25
Sites, in units of the cell vectors:
In 0.000 0.000 0.500
I 0.820 0.639 0.674
In 0.544 0.087 0.354
I 0.521 0.042 0.750
In 0.457 0.914 0.646
In 0.001 0.001 0.000
In 0.278 0.556 0.074
I 0.638 0.275 0.462
I 0.093 0.186 0.611
I 0.094 0.187 0.889
Rb 0.802 0.605 0.250
In 0.723 0.445 0.926
I 0.181 0.362 0.326
I 0.363 0.726 0.962
I 0.908 0.815 0.389
In 0.278 0.556 0.426
I 0.907 0.814 0.111
Rb 0.198 0.396 0.750
I 0.180 0.361 0.173
I 0.363 0.725 0.538
In 0.722 0.444 0.574
I 0.820 0.641 0.827
I 0.638 0.275 0.038
I 0.479 0.959 0.250
In 0.458 0.915 0.854
In 0.543 0.086 0.146

Values from the calculation:
symmetry	No. 12
V	1126.65	Å³ per cell
density	4.56	g/cm3
VASP energy	-66.58	eV per cell
ΔE_f (raw)	-0.599	eV per atom
total magnetization	0.00	Bohr magnetons per cell


6.
Density functional theory data (PBE) for a geometry-optimized RbAlBi structure.

a b c (Å): 6.241 4.654 4.654
angles (deg): 120.00 90.00 90.00
Sites, in units of the cell vectors:
Rb 0.678 0.667 0.333
Bi 0.235 0.333 0.667
Al 0.088 0.000 0.000

Values from the calculation:
symmetry	No. 156
V	117.10	Å³ per cell
ΔE_f	-37	meV per atom
density	4.56	g/cm3
VASP energy	-8.70	eV per cell
total magnetization	0.00	Bohr magnetons per cell


7.
Density functional theory data (PBE) for a geometry-optimized PPdS2 structure.

a b c (Å): 7.527 7.527 7.527
angles (deg): 25.87 25.87 25.87
Sites, in units of the cell vectors:
S 0.104 0.104 0.104
S 0.896 0.896 0.896
P 0.500 0.500 0.500
Pd 0.000 0.000 0.000

Values from the calculation:
symmetry	No. 166
V	71.52	Å³ per cell
density	4.68	g/cm3
VASP energy	-18.43	eV per cell
ΔE_f (raw)	0.108	eV per atom
total magnetization	0.00	Bohr magnetons per cell


8.
Density functional theory data (PBE) for a geometry-optimized TaNbB2 structure.

a b c (Å): 3.263 3.263 5.648
angles (deg): 73.21 73.21 60.00
Sites, in units of the cell vectors:
Nb 0.000 0.000 0.000
Ta 0.500 0.500 0.500
B 0.750 0.750 0.749
B 0.250 0.250 0.251

Values from the calculation:
symmetry	No. 166
V	49.09	Å³ per cell
ΔE_f	-633	meV per atom
density	9.99	g/cm3
VASP energy	-37.81	eV per cell
total magnetization	0.00	Bohr magnetons per cell